A plane-wave DFT calculation with GGA-PBE was carried out for AcSb2 after structural relaxation.

Crystal system: monoclinic
Energy above the most stable polymorph in this dataset in eV per atom: 0.145
Energy relative to the elements, uncorrected in eV/f.u.: -1.98
Calculated volume in A^3/atom: 34.50
D(E_F) in states/eV per atom: 0.516
Energy in eV per atom: -4.778

a = 4.537 Å, b = 4.537 Å, c = 5.574 Å
α = 107.82°, β = 107.82°, γ = 89.82°
Sites, in units of the cell vectors:
Ac 0.000 0.000 0.000
Sb 0.404 0.404 0.706
Sb 0.596 0.596 0.294